No. 1
TlSnO3 PBE relaxed; calculated volume = 80.51 Å³/f.u.; symmetry = No. 12; M_tot = 0.00 μB/atom; energy relative to the elements, uncorrected = -1105 meV/atom; E = -53.534 eV for the cell shown
1.0
5.219 -2.753 0.000
5.219 2.753 0.000
-0.095 0.000 5.603
Tl Sn O
2 2 6
Cartesian
1.345 0.000 2.768
8.998 0.000 2.835
3.655 0.000 0.008
6.688 0.000 5.595
2.598 1.374 1.300
5.119 0.000 4.282
2.598 -1.374 1.300
7.745 1.374 4.303
5.225 0.000 1.321
7.745 -1.374 4.303

=====

No. 2
TlSnO3 PBE relaxed; calculated volume = 67.58 Å³/f.u.; symmetry = No. 221; M_tot = 0.00 μB/atom; energy relative to the elements, uncorrected = -984 meV/atom; E = -26.162 eV for the cell shown
1.0
4.073 0.000 0.000
0.000 4.073 0.000
0.000 0.000 4.073
Tl Sn O
1 1 3
Cartesian
0.000 0.000 0.000
2.037 2.037 2.037
0.000 2.037 2.037
2.037 0.000 2.037
2.037 2.037 0.000

=====

No. 3
Tl2SnO PBE relaxed; calculated volume = 102.70 Å³/f.u.; symmetry = No. 122; M_tot = 0.00 μB/atom; energy relative to the elements, uncorrected = -152 meV/atom; E = -28.606 eV for the cell shown
1.0
-3.597 3.597 3.969
3.597 -3.597 3.969
3.597 3.597 -3.969
Tl Sn O
4 2 2
Cartesian
5.396 1.223 -0.992
1.223 1.799 0.992
-1.799 2.374 2.976
2.374 1.799 4.961
3.597 0.000 1.984
0.000 0.000 3.969
0.000 0.000 0.000
0.000 3.597 1.984

=====

No. 4
Tl2SnO3 PBE relaxed; calculated volume = 110.68 Å³/f.u.; symmetry = No. 62; M_tot = 0.00 μB/atom; energy relative to the elements, uncorrected = -1151 meV/atom; E = -122.064 eV for the cell shown
1.0
10.416 0.000 0.000
0.000 3.301 0.000
0.000 0.000 12.876
Tl Sn O
8 4 12
Cartesian
1.523 0.825 1.358
2.082 2.476 10.873
3.126 0.825 4.435
3.684 2.476 7.796
6.731 0.825 5.080
7.290 2.476 8.441
8.333 0.825 2.003
8.892 2.476 11.518
0.336 0.825 7.853
4.872 2.476 1.415
5.544 0.825 11.461
10.080 2.476 5.023
0.536 0.825 4.025
1.099 2.476 6.610
2.103 0.825 8.906
3.105 2.476 2.468
4.109 0.825 0.172
4.672 2.476 10.463
5.744 0.825 2.413
6.307 2.476 12.704
7.311 0.825 10.408
8.313 2.476 3.970
9.317 0.825 6.266
9.880 2.476 8.851